## DyMg2Mn3S8 (SCAN)

Data for a crystal of DyMg2Mn3S8 relaxed with PBEsol.

Calculated values
- Volume: 19.90 Å³/atom
- E_form (uncorrected): -1.32 eV/atom
- Electronic total energy: -14.8612 eV/atom

abc: 7.2637 7.2637 18.2892
angles: 90.00 90.00 120.00
Space group R-3m (No. 166, hexagonal axes)
One atom of each set of equivalent atoms:
Dy (0.0000, 0.0000, 0.0000) x3
Mg (0.0000, 0.0000, 0.3744) x6
Mn (0.0000, 0.5000, 0.5000) x9
S (0.0000, 0.0000, 0.2402) x6
S (0.0172, 0.5086, 0.7641) x18



## Zn2Ag3 (SCAN)

Data for a crystal of Zn2Ag3 relaxed with PBEsol.

Calculated values
- ΔE to the lowest computed polymorph: 6.4 meV/atom
- E_form: -0.07 eV per formula unit
- Volume: 15.48 Å³/atom
- Electronic total energy: -24.2396 eV/atom

abc: 9.3832 13.1806 5.0056
angles: 90.00 90.00 90.00
Space group Fdd2 (No. 43)
One atom of each set of equivalent atoms:
Zn (0.0268, 0.2978, 0.0000) x16
Ag (0.0000, 0.0000, 0.4476) x8
Ag (0.0462, 0.3986, 0.4604) x16



## Sr2ScAu2 (SCAN)

Data for a crystal of Sr2ScAu2 relaxed with PBEsol.

Calculated values
- E_form: -1.14 eV per formula unit
- Volume: 28.96 Å³/atom
- Electronic total energy: -39.6492 eV/atom

abc: 4.7321 4.7321 12.9332
angles: 90.00 90.00 90.00
Space group I4/mmm (No. 139)
One atom of each set of equivalent atoms:
Sr (0.0000, 0.5000, 0.2500) x4
Sc (0.0000, 0.0000, 0.0000) x2
Au (0.0000, 0.0000, 0.3994) x4



## Al2Cu (SCAN)

Data for a crystal of Al2Cu relaxed with PBEsol.

Calculated values
- E_form: -0.30 eV per formula unit
- Volume: 14.22 Å³/atom
- Electronic total energy: -10.3348 eV/atom

abc: 8.5685 2.8130 7.6506
angles: 90.00 112.32 90.00
Space group C2/m (No. 12)
One atom of each set of equivalent atoms:
Al (0.0000, 0.0000, 0.0000) x2
Al (0.0000, 0.0000, 0.5000) x2
Al (0.1705, 0.5000, 0.3211) x4
Cu (0.1631, 0.5000, 0.8372) x4



## SbPPtCl2 (SCAN)

Data for a crystal of SbPPtCl2 relaxed with PBEsol.

Calculated values
- Volume: 25.41 Å³/atom
- E_form (uncorrected): 0.92 eV/atom
- Electronic total energy: -25.8436 eV/atom

abc: 4.8803 4.8803 5.3347
angles: 90.00 90.00 90.00
Space group P4/mmm (No. 123)
One atom of each set of equivalent atoms:
Sb (0.0000, 0.0000, 0.0000) x1
P (0.0000, 0.0000, 0.5000) x1
Pt (0.5000, 0.5000, 0.5000) x1
Cl (0.0000, 0.5000, 0.0000) x2



## LiTc2B2 (SCAN)

Data for a crystal of LiTc2B2 relaxed with PBEsol.

Calculated values
- E_form: -2.02 eV per formula unit
- Volume: 9.58 Å³/atom
- Electronic total energy: -17.8785 eV/atom

abc: 5.6613 5.6613 2.9902
angles: 90.00 90.00 90.00
Space group P4/mbm (No. 127)
One atom of each set of equivalent atoms:
Li (0.0000, 0.0000, 0.0000) x2
Tc (0.1728, 0.3272, 0.5000) x4
B (0.1168, 0.6168, 0.0000) x4



## RbMgP2Cl (SCAN)

Data for a crystal of RbMgP2Cl relaxed with PBEsol.

Calculated values
- Volume: 26.11 Å³/atom
- E_form (uncorrected): -0.29 eV/atom
- Electronic total energy: -11.1827 eV/atom

abc: 4.9140 4.9140 5.4063
angles: 90.00 90.00 90.00
Space group P4/mmm (No. 123)
One atom of each set of equivalent atoms:
Rb (0.0000, 0.0000, 0.0000) x1
Mg (0.5000, 0.5000, 0.5000) x1
P (0.0000, 0.5000, 0.5000) x2
Cl (0.5000, 0.5000, 0.0000) x1



## Y3AlO6 (SCAN)

Data for a crystal of Y3AlO6 relaxed with PBEsol.

Calculated values
- Volume: 12.88 Å³/atom
- E_form (uncorrected): -3.76 eV/atom
- Electronic total energy: -16.6289 eV/atom

abc: 9.2072 9.2072 10.5290
angles: 90.00 90.00 120.00
Space group R-3 (No. 148, hexagonal axes)
One atom of each set of equivalent atoms:
Y (0.0418, 0.7737, 0.2024) x18
Al (0.0000, 0.0000, 0.0000) x3
Al (0.0000, 0.0000, 0.5000) x3
O (0.0274, 0.8460, 0.8904) x18
O (0.0285, 0.8319, 0.4034) x18



## AuSeBr3 (SCAN)

Data for a crystal of AuSeBr3 relaxed with PBEsol.

Calculated values
- Volume: 27.96 Å³/atom
- E_form (uncorrected): 0.34 eV/atom
- Electronic total energy: -29.1792 eV/atom

abc: 5.1900 5.1900 5.1900
angles: 90.00 90.00 90.00
Space group Pm-3m (No. 221)
One atom of each set of equivalent atoms:
Au (0.0000, 0.0000, 0.0000) x1
Se (0.5000, 0.5000, 0.5000) x1
Br (0.0000, 0.0000, 0.5000) x3



## Nd2ZnPtO6 (SCAN)

Data for a crystal of Nd2ZnPtO6 relaxed with PBEsol.

Calculated values
- Volume: 12.16 Å³/atom
- E_form (uncorrected): -2.47 eV/atom
- Electronic total energy: -23.2927 eV/atom

abc: 5.4193 5.7814 9.4522
angles: 90.00 124.80 90.00
Space group P2_1/c (No. 14)
One atom of each set of equivalent atoms:
Nd (0.2300, 0.0710, 0.2505) x4
Zn (0.5000, 0.0000, 0.0000) x2
Pt (0.0000, 0.0000, 0.5000) x2
O (0.1336, 0.2037, 0.9465) x4
O (0.2518, 0.6953, 0.9487) x4
O (0.3518, 0.0313, 0.7483) x4



## BaTcPt2 (SCAN)

Data for a crystal of BaTcPt2 relaxed with PBEsol.

Calculated values
- ΔE to the lowest computed polymorph: 222.3 meV/atom
- E_form: 1.51 eV per formula unit
- Volume: 19.36 Å³/atom
- Electronic total energy: -53.3718 eV/atom

abc: 2.8977 5.1386 10.4028
angles: 90.00 90.00 90.00
Space group Imm2 (No. 44)
One atom of each set of equivalent atoms:
Ba (0.0000, 0.0000, 0.0000) x2
Tc (0.0000, 0.5000, 0.7787) x2
Pt (0.0000, 0.0000, 0.4907) x2
Pt (0.0000, 0.5000, 0.2230) x2



## PtRh2Cl (SCAN)

Data for a crystal of PtRh2Cl relaxed with PBEsol.

Calculated values
- ΔE to the lowest computed polymorph: 0.0 meV/atom
- Volume: 14.46 Å³/atom
- E_form (uncorrected): 0.34 eV/atom
- Electronic total energy: -36.0911 eV/atom

abc: 2.7268 4.8848 8.6840
angles: 90.00 90.00 90.00
Space group Cmmm (No. 65)
One atom of each set of equivalent atoms:
Pt (0.0000, 0.0000, 0.0000) x2
Rh (0.0000, 0.5000, 0.2629) x4
Cl (0.0000, 0.0000, 0.5000) x2



## BaPb2W (SCAN)

Data for a crystal of BaPb2W relaxed with PBEsol.

Calculated values
- E_form: 3.98 eV per formula unit
- Volume: 27.85 Å³/atom
- Electronic total energy: -64.2057 eV/atom

abc: 7.6385 7.6385 7.6385
angles: 90.00 90.00 90.00
Space group F-43m (No. 216)
One atom of each set of equivalent atoms:
Ba (0.0000, 0.0000, 0.0000) x4
Pb (0.0000, 0.0000, 0.5000) x4
Pb (0.2500, 0.2500, 0.2500) x4
W (0.2500, 0.2500, 0.7500) x4



## Ba8Si6Sn (SCAN)

Data for a crystal of Ba8Si6Sn relaxed with PBEsol.

Calculated values
- Volume: 33.79 Å³/atom
- E_form (uncorrected): -0.51 eV/atom
- Electronic total energy: -28.0014 eV/atom

abc: 8.6315 8.7125 26.9632
angles: 90.00 90.00 90.00
Space group Pbcn (No. 60)
One atom of each set of equivalent atoms:
Ba (0.0513, 0.1811, 0.0859) x8
Ba (0.1747, 0.1311, 0.6751) x8
Ba (0.1833, 0.4892, 0.3131) x8
Ba (0.2146, 0.4910, 0.4784) x8
Si (0.0606, 0.2067, 0.5463) x8
Si (0.0691, 0.4262, 0.6002) x8
Si (0.1352, 0.2348, 0.8922) x8
Sn (0.0000, 0.1696, 0.2500) x4



## TaCoSe2 (SCAN)

Data for a crystal of TaCoSe2 relaxed with PBEsol.

Calculated values
- Volume: 16.01 Å³/atom
- E_form (uncorrected): 0.49 eV/atom
- Electronic total energy: -30.5211 eV/atom

abc: 5.9076 7.9803 3.0920
angles: 90.00 118.51 90.00
Space group C2/m (No. 12)
One atom of each set of equivalent atoms:
Ta (0.0000, 0.0000, 0.0000) x2
Co (0.0000, 0.5000, 0.0000) x2
Se (0.2500, 0.2500, 0.5000) x4



## NaIn2Hg2 (SCAN)

Data for a crystal of NaIn2Hg2 relaxed with PBEsol.

Calculated values
- ΔE to the lowest computed polymorph: 17.0 meV/atom
- E_form: -0.64 eV per formula unit
- Volume: 25.05 Å³/atom
- Electronic total energy: -41.5918 eV/atom

abc: 8.0907 8.0907 3.8264
angles: 90.00 90.00 90.00
Space group P4/mbm (No. 127)
One atom of each set of equivalent atoms:
Na (0.0000, 0.0000, 0.0000) x2
In (0.1565, 0.3435, 0.5000) x4
Hg (0.1437, 0.6437, 0.0000) x4



## ScTaAu (SCAN)

Data for a crystal of ScTaAu relaxed with PBEsol.

Calculated values
- E_form: 2.22 eV per formula unit
- Volume: 21.14 Å³/atom
- Electronic total energy: -49.2537 eV/atom

abc: 6.3302 6.3302 6.3302
angles: 90.00 90.00 90.00
Space group F-43m (No. 216)
One atom of each set of equivalent atoms:
Sc (0.0000, 0.0000, 0.0000) x4
Ta (0.2500, 0.2500, 0.2500) x4
Au (0.2500, 0.2500, 0.7500) x4



## HgTeI2N (SCAN)

Data for a crystal of HgTeI2N relaxed with PBEsol.

Calculated values
- Volume: 38.63 Å³/atom
- E_form (uncorrected): 1.17 eV/atom
- Electronic total energy: -36.4720 eV/atom

abc: 5.8836 5.8836 5.5800
angles: 90.00 90.00 90.00
Space group P4/mmm (No. 123)
One atom of each set of equivalent atoms:
Hg (0.0000, 0.0000, 0.0000) x1
Te (0.0000, 0.0000, 0.5000) x1
I (0.0000, 0.5000, 0.0000) x2
N (0.5000, 0.5000, 0.5000) x1



## Li3Rh (SCAN)

Data for a crystal of Li3Rh relaxed with PBEsol.

Calculated values
- E_form: -0.19 eV per formula unit
- Volume: 13.11 Å³/atom
- Electronic total energy: -10.2833 eV/atom

abc: 5.9412 5.9412 5.9412
angles: 90.00 90.00 90.00
Space group Fm-3m (No. 225)
One atom of each set of equivalent atoms:
Li (0.0000, 0.0000, 0.0000) x4
Li (0.2500, 0.2500, 0.2500) x8
Rh (0.0000, 0.0000, 0.5000) x4



## ZrReAu (SCAN)

Data for a crystal of ZrReAu relaxed with PBEsol.

Calculated values
- E_form: 1.60 eV per formula unit
- Volume: 20.35 Å³/atom
- Electronic total energy: -56.4520 eV/atom

abc: 6.2507 6.2507 6.2507
angles: 90.00 90.00 90.00
Space group F-43m (No. 216)
One atom of each set of equivalent atoms:
Zr (0.0000, 0.0000, 0.0000) x4
Re (0.2500, 0.2500, 0.2500) x4
Au (0.0000, 0.0000, 0.5000) x4